Entry 1:
# K4NpBr6

A relaxed structure of K4NpBr6 (PBE, Alexandria).

Summary:
The raw formation energy is -1.463 eV/atom. Its crystal system is tetragonal. The calculation puts the density of states at the Fermi level at 13.71 states/eV/f.u. The total energy is -86.9 eV for the cell shown.

Cell: 9.2561 9.2561 9.7333 Å, 90.00 90.00 90.00°
Closest atoms and distances in Å follow each position.
Sites, in units of the cell vectors:
K  0.1722  0.3278  0.2500  6 Br 3.46-3.51
K  0.1722  0.3278  0.7500  6 Br 3.46-3.51
K  0.3278  0.8278  0.2500  6 Br 3.46-3.51
K  0.3278  0.8278  0.7500  6 Br 3.46-3.51
K  0.6722  0.1722  0.2500  6 Br 3.46-3.51
K  0.6722  0.1722  0.7500  6 Br 3.46-3.51
K  0.8278  0.6722  0.2500  6 Br 3.46-3.51
K  0.8278  0.6722  0.7500  6 Br 3.46-3.51
Np  0.0000  0.0000  0.0000  6 Br 2.93-3.01
Np  0.5000  0.5000  0.5000  6 Br 2.93-3.01
Br  0.0000  0.0000  0.3009  1 Np 2.93
Br  0.0000  0.0000  0.6991  1 Np 2.93
Br  0.1000  0.6905  0.0000  1 Np 3.01
Br  0.1905  0.6000  0.5000  1 Np 3.01
Br  0.3095  0.1000  0.0000  1 Np 3.01
Br  0.4000  0.1905  0.5000  1 Np 3.01
Br  0.5000  0.5000  0.1991  1 Np 2.93
Br  0.5000  0.5000  0.8009  1 Np 2.93
Br  0.6000  0.8095  0.5000  1 Np 3.01
Br  0.6905  0.9000  0.0000  1 Np 3.01
Br  0.8095  0.4000  0.5000  1 Np 3.01
Br  0.9000  0.3095  0.0000  1 Np 3.01

Entry 2:
# KNp2Br6

A relaxed structure of KNp2Br6 (PBE, Alexandria).

Summary:
The raw formation energy is -1.352 eV/atom. Its crystal system is trigonal. The calculation puts the density of states at the Fermi level at 21.62 states/eV/f.u. The total energy is -49.2 eV for the cell shown.

Cell: 7.5426 7.5426 7.2795 Å, 90.00 90.00 120.00°
Closest atoms and distances in Å follow each position.
Sites, in units of the cell vectors:
K  0.0000  0.0000  0.0000  6 Br 3.37
Np  0.3333  0.6667  0.5000  6 Br 2.94
Np  0.6667  0.3333  0.5000  6 Br 2.94
Br  0.0000  0.3642  0.7314  2 Np 2.94
Br  0.0000  0.6358  0.2686  2 Np 2.94
Br  0.3642  0.0000  0.7314  2 Np 2.94
Br  0.3642  0.3642  0.2686  2 Np 2.94
Br  0.6358  0.0000  0.2686  2 Np 2.94
Br  0.6358  0.6358  0.7314  2 Np 2.94

Entry 3:
# K2NpBr8

A relaxed structure of K2NpBr8 (PBE, Alexandria).

Summary:
The raw formation energy is -1.182 eV/atom. Its crystal system is monoclinic. The calculation puts the density of states at the Fermi level at 10.26 states/eV/f.u. The total energy is -41.5 eV for the cell shown. Its energy above the most stable polymorph in this dataset is 0.000 eV per atom.

Cell: 9.1208 9.1208 6.1034 Å, 100.83 100.83 80.20°
Closest atoms and distances in Å follow each position.
Sites, in units of the cell vectors:
K  0.2078  0.2078  0.1054  6 Br 3.21-3.47
K  0.7922  0.7922  0.8946  6 Br 3.21-3.47
Np  0.5000  0.5000  0.0000  6 Br 2.69-2.73
Br  0.0019  0.0019  0.2592  2 Br 2.95-3.15, 2 K 3.21-3.23
Br  0.2544  0.5826  0.2019  1 Np 2.69
Br  0.3277  0.3277  0.6709  1 Np 2.73
Br  0.4174  0.7456  0.7981  1 Np 2.69
Br  0.5826  0.2544  0.2019  1 Np 2.69
Br  0.6723  0.6723  0.3291  1 Np 2.73
Br  0.7456  0.4174  0.7981  1 Np 2.69
Br  0.9981  0.9981  0.7408  2 Br 2.95-3.15, 2 K 3.21-3.23